1.
The following is a PBE calculation of an optimized crystal structure of Ac4TbBi5, from the Alexandria database.

```
Ac4TbBi5
1.0
-5.370 5.370 3.410
5.370 -5.370 3.410
5.370 5.370 -3.410
Ac Tb Bi
4 1 5
Direct
0.096 0.300 0.396 Ac
0.300 0.904 0.204 Ac
0.700 0.096 0.796 Ac
0.904 0.700 0.604 Ac
0.500 0.500 0.000 Tb
0.000 0.000 0.000 Bi
0.212 0.597 0.809 Bi
0.403 0.212 0.615 Bi
0.597 0.788 0.385 Bi
0.788 0.403 0.191 Bi
```

Values from the calculation:
Energy relative to the elements in eV per atom: -0.96

***

2.
The following is a PBE calculation of an optimized crystal structure of AcTb3Bi4, from the Alexandria database.

```
AcTb3Bi4
1.0
9.193 0.000 0.000
0.000 12.990 0.000
0.000 0.000 4.598
Ac Tb Bi
2 6 8
Direct
0.000 0.000 0.000 Ac
0.500 0.500 0.000 Ac
0.000 0.500 0.000 Tb
0.250 0.250 0.500 Tb
0.250 0.750 0.500 Tb
0.500 0.000 0.000 Tb
0.750 0.250 0.500 Tb
0.750 0.750 0.500 Tb
0.000 0.257 0.000 Bi
0.000 0.743 0.000 Bi
0.235 0.500 0.500 Bi
0.265 0.000 0.500 Bi
0.500 0.243 0.000 Bi
0.500 0.757 0.000 Bi
0.735 0.000 0.500 Bi
0.765 0.500 0.500 Bi
```

Values from the calculation:
Energy relative to the elements in eV per atom: -0.88

***

3.
The following is a PBE calculation of an optimized crystal structure of AcTb4Bi5, from the Alexandria database.

```
AcTb4Bi5
1.0
7.574 -2.287 0.000
7.574 2.287 0.000
-5.515 0.000 9.756
Ac Tb Bi
1 4 5
Direct
0.000 0.000 0.000 Ac
0.202 0.202 0.793 Tb
0.405 0.405 0.603 Tb
0.595 0.595 0.397 Tb
0.798 0.798 0.207 Tb
0.000 0.000 0.500 Bi
0.205 0.205 0.314 Bi
0.390 0.390 0.106 Bi
0.610 0.610 0.894 Bi
0.795 0.795 0.686 Bi
```

Values from the calculation:
Energy relative to the elements in eV per atom: -0.89

***

4.
The following is a PBE calculation of an optimized crystal structure of AcTbBiTe, from the Alexandria database.

```
AcTbBiTe
1.0
4.499 0.000 0.000
-2.249 3.896 0.000
0.000 0.000 24.370
Ac Tb Bi Te
3 3 3 3
Direct
0.000 0.000 0.000 Ac
0.333 0.667 0.667 Ac
0.667 0.333 0.333 Ac
0.000 0.000 0.826 Tb
0.333 0.667 0.492 Tb
0.667 0.333 0.159 Tb
0.000 0.000 0.419 Bi
0.333 0.667 0.086 Bi
0.667 0.333 0.753 Bi
0.000 0.000 0.574 Te
0.333 0.667 0.241 Te
0.667 0.333 0.907 Te
```

Values from the calculation:
E_form (uncorrected) in kJ/mol of formula units: -420

***

5.
The following is a PBE calculation of an optimized crystal structure of AcTbBiTe, from the Alexandria database.

```
AcTbBiTe
1.0
7.992 0.000 0.000
0.000 7.992 0.000
0.000 0.000 7.992
Ac Tb Bi Te
4 4 4 4
Direct
0.000 0.000 0.000 Ac
0.000 0.500 0.500 Ac
0.500 0.000 0.500 Ac
0.500 0.500 0.000 Ac
0.000 0.000 0.500 Tb
0.000 0.500 0.000 Tb
0.500 0.000 0.000 Tb
0.500 0.500 0.500 Tb
0.250 0.250 0.750 Bi
0.250 0.750 0.250 Bi
0.750 0.250 0.250 Bi
0.750 0.750 0.750 Bi
0.250 0.250 0.250 Te
0.250 0.750 0.750 Te
0.750 0.250 0.750 Te
0.750 0.750 0.250 Te
```

Values from the calculation:
E_form (uncorrected) in kJ/mol of formula units: -373

***

6.
The following is a PBE calculation of an optimized crystal structure of AcTbTlBi, from the Alexandria database.

```
AcTbTlBi
1.0
8.044 0.000 0.000
0.000 8.044 0.000
0.000 0.000 8.044
Ac Tb Tl Bi
4 4 4 4
Direct
0.000 0.000 0.000 Ac
0.000 0.500 0.500 Ac
0.500 0.000 0.500 Ac
0.500 0.500 0.000 Ac
0.000 0.000 0.500 Tb
0.000 0.500 0.000 Tb
0.500 0.000 0.000 Tb
0.500 0.500 0.500 Tb
0.250 0.250 0.250 Tl
0.250 0.750 0.750 Tl
0.750 0.250 0.750 Tl
0.750 0.750 0.250 Tl
0.250 0.250 0.750 Bi
0.250 0.750 0.250 Bi
0.750 0.250 0.250 Bi
0.750 0.750 0.750 Bi
```

Values from the calculation:
Energy relative to the elements in eV per atom: -0.43

***

7.
The following is a PBE calculation of an optimized crystal structure of Ac2TcBi, from the Alexandria database.

```
Ac2TcBi
1.0
3.651 0.000 0.000
-1.826 3.162 0.000
0.000 0.000 33.446
Ac Tc Bi
6 3 3
Direct
0.000 0.000 0.079 Ac
0.000 0.000 0.921 Ac
0.333 0.667 0.588 Ac
0.333 0.667 0.746 Ac
0.667 0.333 0.254 Ac
0.667 0.333 0.412 Ac
0.000 0.000 0.000 Tc
0.333 0.667 0.667 Tc
0.667 0.333 0.333 Tc
0.000 0.000 0.500 Bi
0.333 0.667 0.167 Bi
0.667 0.333 0.833 Bi
```

Values from the calculation:
Energy relative to the elements in eV per atom: 0.67

***

8.
The following is a PBE calculation of an optimized crystal structure of AcTcBi, from the Alexandria database.

```
AcTcBi
1.0
5.657 0.000 0.000
0.000 4.343 0.000
-2.056 0.000 7.573
Ac Tc Bi
2 2 2
Direct
0.214 0.250 0.238 Ac
0.786 0.750 0.762 Ac
0.397 0.750 0.957 Tc
0.603 0.250 0.043 Tc
0.257 0.250 0.697 Bi
0.743 0.750 0.303 Bi
```

Values from the calculation:
Energy relative to the elements in eV per atom: -0.22

***

Sequential calculated density output: 8917; 9312; 9373; 8426; 9400; 10200; 9817; 9533 kg/m³
Sequential DOS(E_F) output: 0.46; 2.23; 2.04; 10.31; 13.50; 17.99; 8.71; 5.68 states/eV per cell